The following is a DFT calculation (PBE) of crystalline K4SrCr at its relaxed geometry.

Computed properties:
- total DFT energy (no corrections) (eV/cell) = -47.8
- formation enthalpy at 0 K (eV/atom) = 0.62
- calculated volume (A^3/atom) = 55.81

Cell lengths 11.0233, 11.0233, 11.0233 Å; angles 90.00, 90.00, 90.00 degrees
Closest atoms and distances in Å follow each position.
Space group F-43m (No. 216)
One atom of each set of equivalent atoms:
K  0.1240  0.1240  0.3760 x16  6 K 3.86-3.93
Sr  0.0000  0.0000  0.0000 x4  12 K 4.57, 4 Cr 4.77
Cr  0.2500  0.2500  0.7500 x4  12 K 4.57, 4 Sr 4.77

***

The following is a DFT calculation (PBE) of crystalline AcCeGa at its relaxed geometry.

Computed properties:
- total DFT energy (no corrections) (eV/cell) = -53.5
- formation enthalpy at 0 K (eV/atom) = -0.10
- energy above the most stable polymorph in this dataset (eV/atom) = 0.251
- calculated volume (A^3/atom) = 33.51

Cell lengths 7.3809, 7.3809, 7.3809 Å; angles 90.00, 90.00, 90.00 degrees
Closest atoms and distances in Å follow each position.
Space group F-43m (No. 216)
One atom of each set of equivalent atoms:
Ac  0.0000  0.0000  0.0000 x4  4 Ga 3.20
Ce  0.0000  0.0000  0.5000 x4  4 Ga 3.20
Ga  0.2500  0.2500  0.7500 x4  4 Ce 3.20, 4 Ac 3.20

***

The following is a DFT calculation (PBE) of crystalline La2Tb6Th at its relaxed geometry.

Computed properties:
- total DFT energy (no corrections) (eV/cell) = -86.6
- formation enthalpy at 0 K (eV/atom) = 0.20
- calculated volume (A^3/atom) = 33.65

Cell lengths 3.4034, 10.0513, 17.7080 Å; angles 90.00, 90.00, 90.00 degrees
Closest atoms and distances in Å follow each position.
Space group Immm (No. 71)
One atom of each set of equivalent atoms:
La  0.0000  0.0000  0.1627 x4  2 La 3.40, 8 Tb 3.50-3.62
Tb  0.0000  0.1821  0.3336 x8  7 Tb 3.40-3.68, 1 Th 3.47, 3 La 3.54-3.62
Tb  0.0000  0.1977  0.0000 x4  6 Tb 3.40-3.61, 2 Th 3.48, 2 La 3.50
Th  0.0000  0.0000  0.5000 x2  2 Th 3.40, 8 Tb 3.47-3.48

***

The following is a DFT calculation (PBE) of crystalline NaC3Cl at its relaxed geometry.

Computed properties:
- total DFT energy (no corrections) (eV/cell) = -14.6
- energy above the most stable polymorph in this dataset (eV/atom) = 0.000
- formation energy from raw total energies (eV/f.u.) = 16.25
- calculated volume (A^3/atom) = 14.32

Cell lengths 4.1520, 4.1520, 4.1520 Å; angles 90.00, 90.00, 90.00 degrees
Closest atoms and distances in Å follow each position.
Space group Pm-3m (No. 221)
One atom of each set of equivalent atoms:
Na  0.0000  0.0000  0.0000 x1  12 C 2.94
C  0.0000  0.5000  0.5000 x3  2 Cl 2.08
Cl  0.5000  0.5000  0.5000 x1  6 C 2.08

***

The following is a DFT calculation (PBE) of crystalline CeNd2Mg at its relaxed geometry.

Computed properties:
- total DFT energy (no corrections) (eV/cell) = -17.1
- formation enthalpy at 0 K (eV/atom) = 0.00
- energy above the most stable polymorph in this dataset (eV/atom) = 0.000
- calculated volume (A^3/atom) = 30.52

Cell lengths 3.6000, 3.6000, 9.4189 Å; angles 90.00, 90.00, 90.00 degrees
Closest atoms and distances in Å follow each position.
Space group P4/mmm (No. 123)
One atom of each set of equivalent atoms:
Ce  0.0000  0.0000  0.0000 x1  8 Nd 3.51, 4 Ce 3.60
Nd  0.5000  0.5000  0.2563 x2  4 Mg 3.43, 4 Ce 3.51, 4 Nd 3.60
Mg  0.0000  0.0000  0.5000 x1  8 Nd 3.43, 4 Mg 3.60

***

The following is a DFT calculation (PBE) of crystalline CaSi at its relaxed geometry.

Computed properties:
- total DFT energy (no corrections) (eV/cell) = -12.1
- formation energy from raw total energies (eV/f.u.) = 1.37
- calculated volume (A^3/atom) = 28.74

Cell lengths 3.1880, 3.1880, 11.3124 Å; angles 90.00, 90.00, 90.00 degrees
Closest atoms and distances in Å follow each position.
Space group P4/mmm (No. 123)
One atom of each set of equivalent atoms:
Ca  0.0000  0.0000  0.1497 x2  1 Si 2.81
Si  0.0000  0.0000  0.3983 x2  1 Si 2.30

***

The following is a DFT calculation (PBE) of crystalline UBeHgO5 at its relaxed geometry.

Computed properties:
- total DFT energy (no corrections) (eV/cell) = -231.7
- formation energy from raw total energies (eV/f.u.) = -17.81
- calculated volume (A^3/atom) = 14.80

Cell lengths 7.6462, 8.5747, 8.0292 Å; angles 90.00, 115.89, 90.00 degrees
Closest atoms and distances in Å follow each position.
Space group C2/c (No. 15)
One atom of each set of equivalent atoms:
U  0.2500  0.2500  0.0000 x4  4 O 1.96-2.12
Be  0.0000  0.0712  0.2500 x4  4 O 1.66
Hg  0.0000  0.4077  0.2500 x4  3 O 2.09-2.24
O  0.0000  0.3490  0.7500 x4  1 Hg 2.09, 2 U 2.25
O  0.0686  0.1932  0.1296 x8  1 Be 1.66
O  0.1834  0.0440  0.8814 x8  1 Be 1.66

***

The following is a DFT calculation (PBE) of crystalline CeCo8B4 at its relaxed geometry.

Computed properties:
- total DFT energy (no corrections) (eV/cell) = -181.6
- formation enthalpy at 0 K (eV/atom) = -0.10
- calculated volume (A^3/atom) = 9.80

Cell lengths 7.5820, 7.5820, 4.4336 Å; angles 90.00, 90.00, 90.00 degrees
Closest atoms and distances in Å follow each position.
Space group I4/mmm (No. 139)
One atom of each set of equivalent atoms:
Ce  0.0000  0.0000  0.0000 x2  12 Co 2.59-2.82, 8 B 2.90
Co  0.0000  0.2296  0.5000 x8  4 B 2.20, 6 Co 2.37-2.46
Co  0.0000  0.3416  0.0000 x8  4 B 2.30, 5 Co 2.37-2.40
B  0.2500  0.2500  0.2500 x8  8 Co 2.20-2.30, 2 B 2.22

***

The following is a DFT calculation (PBE) of crystalline SiP2Se at its relaxed geometry.

Computed properties:
- total DFT energy (no corrections) (eV/cell) = -59.8
- energy above the most stable polymorph in this dataset (eV/atom) = 0.000
- formation energy from raw total energies (eV/f.u.) = -0.21
- calculated volume (A^3/atom) = 21.45

Cell lengths 3.5082, 3.5082, 24.1470 Å; angles 90.00, 90.00, 120.00 degrees
Closest atoms and distances in Å follow each position.
Space group R3m (No. 160, hexagonal axes)
One atom of each set of equivalent atoms:
Si  0.0000  0.0000  0.0000 x3  3 Se 2.44, 3 P 2.64
P  0.0000  0.0000  0.4508 x3  3 P 2.32
P  0.0000  0.0000  0.7369 x3  3 P 2.32
Se  0.0000  0.0000  0.2770 x3  3 Si 2.44

***

The following is a DFT calculation (PBE) of crystalline Ca12Zn5In at its relaxed geometry.

Computed properties:
- total DFT energy (no corrections) (eV/cell) = -73.4
- formation enthalpy at 0 K (eV/atom) = -0.20
- calculated volume (A^3/atom) = 31.16

Cell lengths 10.0765, 10.2345, 10.8781 Å; angles 90.00, 90.00, 90.00 degrees
Closest atoms and distances in Å follow each position.
Space group Immm (No. 71)
One atom of each set of equivalent atoms:
Ca  0.0000  0.1945  0.2427 x8  3 Zn 3.13-3.46, 1 In 3.43
Ca  0.2065  0.5000  0.1717 x8  3 Zn 3.07-3.15
Ca  0.2230  0.3168  0.5000 x8  4 Zn 3.21-3.36
Zn  0.0000  0.0000  0.0000 x2  8 Ca 3.31-3.36, 2 Zn 3.67
Zn  0.0000  0.3586  0.0000 x4  1 Zn 2.89, 6 Ca 3.13-3.15
Zn  0.0000  0.5000  0.3797 x4  1 Zn 2.62
In  0.0000  0.0000  0.5000 x2  8 Ca 3.43-3.50

***

What is the total DFT energy (no corrections) in the first record? -47.8 eV/cell